# AcHoSi2Pt2 (PBE, relaxed)
# total DFT energy (no corrections)	-6.384	eV per atom
# formation energy without anion corrections	-6.691	eV per formula unit
data_AcHoSi2Pt2
_cell_length_a 4.2163
_cell_length_b 4.2163
_cell_length_c 8.5040
_cell_angle_alpha 90.00
_cell_angle_beta 90.00
_cell_angle_gamma 120.00
_space_group_name_H-M_alt 'P -3 m 1'
_space_group_IT_number 164
_space_group_name_Hall '-P 3 2"'
loop_
_atom_site_label
_atom_site_fract_x
_atom_site_fract_y
_atom_site_fract_z
Ac1 0.0000 0.0000 0.0000
Ho1 0.0000 0.0000 0.5000
Si1 0.3333 0.6667 0.2697
Pt1 0.3333 0.6667 0.7227